Material: Cd5Ga3I12
Method: DFT, PBE-GGA
State: relaxed

Cell: 18.7341 18.7341 18.7341 Å, 90.00 90.00 90.00°
Last column: nearest neighbours and their distance in Å.
Space group Ia-3d (No. 230)
One atom of each set of equivalent atoms:
Cd: 0.0000 0.0000 0.0000 [16 per cell]  6 I 3.10
Cd: 0.0000 0.2500 0.3750 [24 per cell]  4 I 2.85
Ga: 0.0000 0.2500 0.1250 [24 per cell]  8 I 3.60
I: 0.0275 0.0618 0.6512 [96 per cell]  2 Cd 2.85-3.10

Output
Crystal system = cubic
DFT total energy = -0.0746 Ha/atom
Calculated density = 4.63 g/cm³
Magnetic moment = 0.000 μB per atom
Formation energy (no corrections) = -417 meV/atom

Material: Cd2GaI
Method: DFT, PBE-GGA
State: relaxed

Cell: 7.1709 7.1709 11.5389 Å, 90.00 90.00 90.00°
Last column: nearest neighbours and their distance in Å.
Space group I-42d (No. 122)
One atom of each set of equivalent atoms:
Cd: 0.1992 0.2500 0.1250 [8 per cell]  2 Ga 2.71
Ga: 0.0000 0.0000 0.0000 [4 per cell]  4 Cd 2.71
I: 0.0000 0.0000 0.5000 [4 per cell]  4 Cd 3.15

Output
ΔE to the lowest computed polymorph = 0.000 eV per atom
Crystal system = tetragonal
DFT total energy = -0.0581 Ha/atom
Calculated density = 4.72 g/cm³
Magnetic moment = 0.000 μB per atom
Formation energy (no corrections) = 21 meV/atom

What did the first record say?
Material: Cd5Ga3I12
Method: DFT, PBE-GGA
State: relaxed

Cell: 18.7341 18.7341 18.7341 Å, 90.00 90.00 90.00°
Last column: nearest neighbours and their distance in Å.
Space group Ia-3d (No. 230)
One atom of each set of equivalent atoms:
Cd: 0.0000 0.0000 0.0000 [16 per cell]  6 I 3.10
Cd: 0.0000 0.2500 0.3750 [24 per cell]  4 I 2.85
Ga: 0.0000 0.2500 0.1250 [24 per cell]  8 I 3.60
I: 0.0275 0.0618 0.6512 [96 per cell]  2 Cd 2.85-3.10

Output
Crystal system = cubic
DFT total energy = -0.0746 Ha/atom
Calculated density = 4.63 g/cm³
Magnetic moment = 0.000 μB per atom
Formation energy (no corrections) = -417 meV/atom